[1]
Here is a relaxed structure of Sr2DyNpO6 from the Alexandria database. Energies are from PBE. Values from VASP.

Cell and atoms, written as Quantum ESPRESSO input:
```
&SYSTEM
  ibrav = 0, nat = 20, ntyp = 4
/
ATOMIC_SPECIES
Sr 87.62 Sr.upf
Dy 162.50 Dy.upf
Np 237.00 Np.upf
O 16.00 O.upf
ATOMIC_POSITIONS crystal
Sr 0.2397 0.0434 0.2506
Sr 0.2397 0.4566 0.7506
Sr 0.7603 0.5434 0.2494
Sr 0.7603 0.9566 0.7494
Dy 0.5000 0.0000 0.0000
Dy 0.5000 0.5000 0.5000
Np 0.0000 0.0000 0.5000
Np 0.0000 0.5000 0.0000
O 0.1427 0.2123 0.9454
O 0.1427 0.2877 0.4454
O 0.2381 0.6977 0.9504
O 0.2381 0.8023 0.4504
O 0.3404 0.0366 0.7428
O 0.3404 0.4634 0.2428
O 0.6596 0.5366 0.7572
O 0.6596 0.9634 0.2572
O 0.7619 0.1977 0.5496
O 0.7619 0.3023 0.0496
O 0.8573 0.7123 0.5546
O 0.8573 0.7877 0.0546
CELL_PARAMETERS angstrom
5.9748 0.0000 0.0000
0.0000 6.1062 0.0000
-5.9673 0.0000 8.5240
```

Results
DFT total energy (eV per atom): -8.2176
Raw formation energy (eV/atom): -3.152
Symmetry: P2_1/c (14)

=====

[2]
Here is a relaxed structure of TbDyNpO6 from the Alexandria database. Energies are from PBE. Values from VASP.

Cell and atoms, written as Quantum ESPRESSO input:
```
&SYSTEM
  ibrav = 0, nat = 18, ntyp = 4
/
ATOMIC_SPECIES
Tb 158.93 Tb.upf
Dy 162.50 Dy.upf
Np 237.00 Np.upf
O 16.00 O.upf
ATOMIC_POSITIONS crystal
Tb 0.0000 0.0000 0.0000
Tb 0.0000 0.0000 0.5000
Dy 0.3333 0.6667 0.2500
Dy 0.6667 0.3333 0.7500
Np 0.3333 0.6667 0.7500
Np 0.6667 0.3333 0.2500
O 0.0259 0.3577 0.6338
O 0.0259 0.6682 0.8662
O 0.3318 0.3577 0.8662
O 0.3318 0.9741 0.6338
O 0.3577 0.0259 0.1338
O 0.3577 0.3318 0.3662
O 0.6423 0.6682 0.6338
O 0.6423 0.9741 0.8662
O 0.6682 0.0259 0.3662
O 0.6682 0.6423 0.1338
O 0.9741 0.3318 0.1338
O 0.9741 0.6423 0.3662
CELL_PARAMETERS angstrom
5.7425 0.0000 0.0000
-2.8712 4.9731 0.0000
0.0000 0.0000 9.4444
```

Results
DFT total energy (eV per atom): -8.9739
Raw formation energy (eV/atom): -3.205
Symmetry: P-31c (163)

=====

What is the raw formation energy in the first record? -3.152 eV/atom